A geometry-optimized Na3AlMo3O8 structure, computed with PBE+U.

Properties
Density of states at the Fermi level (states/eV/f.u.): 2.55
Uncorrected energy (eV for the cell shown): -96.7
Magnetic moment (μB/cell): 8.0
Crystal system: monoclinic
Symmetry: C2/m, No. 12

a = 6.2648 Å, b = 6.2648 Å, c = 6.5629 Å
α = 117.95°, β = 117.95°, γ = 60.77°
Closest atoms and distances in Å follow each position.
Fractional positions:
Na 0.0000 0.0000 0.0000  6 O 2.39-2.44
Na 0.0000 0.5000 0.0000  6 O 2.44-2.47
Na 0.5000 0.0000 0.0000  6 O 2.44-2.47
Al 0.0000 0.0000 0.5000  6 O 1.96-1.97
Mo 0.0000 0.5000 0.5000  6 O 2.13-2.17
Mo 0.5000 0.0000 0.5000  6 O 2.13-2.17
Mo 0.5000 0.5000 0.5000  6 O 2.18
O 0.2127 0.7549 0.6876  1 Al 1.97, 2 Mo 2.13-2.18
O 0.2157 0.2157 0.6905  1 Al 1.96, 2 Mo 2.17
O 0.2451 0.7873 0.3124  1 Al 1.97, 2 Mo 2.13-2.18
O 0.2601 0.2601 0.2932  3 Mo 2.13-2.18
O 0.7399 0.7399 0.7068  3 Mo 2.13-2.18
O 0.7549 0.2127 0.6876  1 Al 1.97, 2 Mo 2.13-2.18
O 0.7843 0.7843 0.3095  1 Al 1.96, 2 Mo 2.17
O 0.7873 0.2451 0.3124  1 Al 1.97, 2 Mo 2.13-2.18